## SrMgBi2W (PBE-GGA)

Data for a relaxed SrMgBi2W crystal.

Computed properties:
As for the formation enthalpy at 0 K: 637 kJ/mol of formula units. Its space-group type is P4/mmm. The value obtained for the total energy is -3.479 eV/atom.

Unit cell a=5.4236 b=5.8287 c=5.4236 alpha=90.00 beta=90.00 gamma=90.00
Last column: magnetic moment on the atom in μB.
Positions (direct):
Sr1 0.0000 0.5000 0.0000  0.01
Mg1 0.0000 0.0000 0.0000  0.00
Bi1 0.0000 0.0000 0.5000  -0.10
Bi2 0.5000 0.0000 0.0000  -0.11
W1 0.5000 0.5000 0.5000  3.08

=====

## SrYMgBi2 (PBE-GGA)

Data for a relaxed SrYMgBi2 crystal.

Computed properties:
As for the formation enthalpy at 0 K: 259 kJ/mol of formula units. Its space-group type is P4/mmm. The value obtained for the total energy is -2.964 eV/atom.

Unit cell a=5.9754 b=5.5985 c=5.9754 alpha=90.00 beta=90.00 gamma=90.00
Positions (direct):
Y1 0.5000 0.5000 0.5000
Sr1 0.0000 0.0000 0.0000
Mg1 0.0000 0.5000 0.0000
Bi1 0.0000 0.0000 0.5000
Bi2 0.5000 0.0000 0.0000

=====

## MgTa3Bi (PBE-GGA)

Data for a relaxed MgTa3Bi crystal.

Computed properties:
As for the formation enthalpy at 0 K: 1027 kJ/mol of formula units. Its space-group type is Pm-3m. The value obtained for the total energy is -6.078 eV/atom.

Unit cell a=5.1606 b=5.1606 c=5.1606 alpha=90.00 beta=90.00 gamma=90.00
Positions (direct):
Mg1 0.5000 0.5000 0.5000
Bi1 0.0000 0.0000 0.0000
Ta1 0.0000 0.5000 0.0000
Ta2 0.0000 0.0000 0.5000
Ta3 0.5000 0.0000 0.0000

=====

## MgTaBi3 (PBE-GGA)

Data for a relaxed MgTaBi3 crystal.

Computed properties:
As for the formation enthalpy at 0 K: 620 kJ/mol of formula units. Its space-group type is Pm-3m. The value obtained for the total energy is -3.732 eV/atom.

Unit cell a=5.3816 b=5.3816 c=5.3816 alpha=90.00 beta=90.00 gamma=90.00
Last column: magnetic moment on the atom in μB.
Positions (direct):
Mg1 0.0000 0.0000 0.0000  0.01
Bi1 0.0000 0.5000 0.0000  -0.04
Bi2 0.0000 0.0000 0.5000  -0.03
Bi3 0.5000 0.0000 0.0000  -0.07
Ta1 0.5000 0.5000 0.5000  1.90

=====

## MgTaBi3 (PBE-GGA)

Data for a relaxed MgTaBi3 crystal.

Computed properties:
As for the formation enthalpy at 0 K: 258 kJ/mol of formula units. Its space-group type is Pm-3m. The value obtained for the total energy is -4.483 eV/atom.

Unit cell a=5.5287 b=5.5287 c=5.5287 alpha=90.00 beta=90.00 gamma=90.00
Positions (direct):
Mg1 0.5000 0.5000 0.5000
Bi1 0.0000 0.5000 0.0000
Bi2 0.0000 0.0000 0.5000
Bi3 0.5000 0.0000 0.0000
Ta1 0.0000 0.0000 0.0000

=====

## MgTa2Bi (PBE-GGA)

Data for a relaxed MgTa2Bi crystal.

Computed properties:
As for the formation enthalpy at 0 K: 263 kJ/mol of formula units. Its space-group type is I-42d. The value obtained for the total energy is -6.613 eV/atom.

Unit cell a=4.0629 b=4.0629 c=11.0368 alpha=79.39 beta=79.39 gamma=90.00
Positions (direct):
Mg1 0.5000 0.5000 0.0000
Mg2 0.2500 0.7500 0.5000
Bi1 0.0000 0.0000 0.0000
Bi2 0.7500 0.2500 0.5000
Ta1 0.6234 0.1250 0.2500
Ta2 0.1266 0.6250 0.2500
Ta3 0.3750 0.3766 0.7500
Ta4 0.8750 0.8734 0.7500

=====

## MgTa3Bi (PBE-GGA)

Data for a relaxed MgTa3Bi crystal.

Computed properties:
As for the formation enthalpy at 0 K: 852 kJ/mol of formula units. Its space-group type is Pm-3m. The value obtained for the total energy is -6.442 eV/atom.

Unit cell a=4.8298 b=4.8298 c=4.8298 alpha=90.00 beta=90.00 gamma=90.00
Positions (direct):
Mg1 0.0000 0.0000 0.0000
Bi1 0.5000 0.5000 0.5000
Ta1 0.0000 0.5000 0.0000
Ta2 0.0000 0.0000 0.5000
Ta3 0.5000 0.0000 0.0000

=====

## MgTa2Bi (PBE-GGA)

Data for a relaxed MgTa2Bi crystal.

Computed properties:
As for the formation enthalpy at 0 K: 296 kJ/mol of formula units. Its space-group type is Fm-3m. The value obtained for the total energy is -6.529 eV/atom.

Unit cell a=4.8619 b=4.8619 c=4.8619 alpha=60.00 beta=60.00 gamma=60.00
Positions (direct):
Mg1 0.0000 0.0000 0.0000
Bi1 0.5000 0.5000 0.5000
Ta1 0.2500 0.2500 0.2500
Ta2 0.7500 0.7500 0.7500

=====

## MgTaTc2Bi (PBE-GGA)

Data for a relaxed MgTaTc2Bi crystal.

Computed properties:
As for the formation enthalpy at 0 K: 647 kJ/mol of formula units. Its space-group type is P4/mmm. The value obtained for the total energy is -6.270 eV/atom.

Unit cell a=4.8227 b=5.4286 c=4.8227 alpha=90.00 beta=90.00 gamma=90.00
Last column: magnetic moment on the atom in μB.
Positions (direct):
Tc1 0.0000 0.0000 0.5000  1.07
Tc2 0.5000 0.0000 0.0000  1.04
Mg1 0.5000 0.5000 0.5000  -0.02
Bi1 0.0000 0.5000 0.0000  -0.01
Ta1 0.0000 0.0000 0.0000  -0.14

=====

## Mg2ZrTaBi (PBE-GGA)

Data for a relaxed Mg2ZrTaBi crystal.

Computed properties:
As for the formation enthalpy at 0 K: 668 kJ/mol of formula units. Its space-group type is P4/mmm. The value obtained for the total energy is -4.109 eV/atom.

Unit cell a=5.0880 b=5.5381 c=5.0880 alpha=90.00 beta=90.00 gamma=90.00
Last column: magnetic moment on the atom in μB.
Positions (direct):
Mg1 0.0000 0.0000 0.5000  -0.01
Mg2 0.5000 0.0000 0.0000  0.00
Bi1 0.0000 0.0000 0.0000  0.03
Zr1 0.0000 0.5000 0.0000  -0.10
Ta1 0.5000 0.5000 0.5000  0.76

=====

## TbMgBi2 (PBE-GGA)

Data for a relaxed TbMgBi2 crystal.

Computed properties:
As for the formation enthalpy at 0 K: -156 kJ/mol of formula units. Its space-group type is P4/mmm. The value obtained for the total energy is -3.900 eV/atom.

Unit cell a=4.0659 b=4.0659 c=6.8825 alpha=90.00 beta=90.00 gamma=90.00
Positions (direct):
Mg1 0.5000 0.5000 0.0000
Tb1 0.5000 0.5000 0.5000
Bi1 0.0000 0.0000 0.7490
Bi2 0.0000 0.0000 0.2510

=====

## Tb2MgBi (PBE-GGA)

Data for a relaxed Tb2MgBi crystal.

Computed properties:
As for the formation enthalpy at 0 K: -144 kJ/mol of formula units. Its space-group type is P4/mmm. The value obtained for the total energy is -4.057 eV/atom.

Unit cell a=4.2948 b=5.1030 c=5.1030 alpha=90.00 beta=90.00 gamma=90.00
Positions (direct):
Mg1 0.5000 0.0000 0.0000
Tb1 0.0000 0.0000 0.5000
Tb2 0.0000 0.5000 0.0000
Bi1 0.5000 0.5000 0.5000